1.
VASP calculation (GGA-PBE) on crystalline MgAlZn2 at its relaxed geometry.

Properties
space group: F-43m
total DFT energy (no corrections): -1.8945 eV/atom

Unit cell a=4.607 b=4.607 c=4.607 alpha=60.00 beta=60.00 gamma=60.00
Fractional positions:
Al: 0.500 0.500 0.500
Mg: 0.250 0.250 0.250
Zn: 0.000 0.000 0.000
Zn: 0.750 0.750 0.750

=====

2.
VASP calculation (GGA-PBE) on crystalline CaBeP2 at its relaxed geometry.

Properties
space group: Pmm2
total DFT energy (no corrections): -4.4683 eV/atom

Unit cell a=4.288 b=4.239 c=4.260 alpha=89.98 beta=90.00 gamma=90.00
Fractional positions:
P: 0.000 0.249 0.933
P: 0.500 0.250 0.307
Ca: 0.500 0.750 0.815
Be: 0.000 0.251 0.446

=====

3.
VASP calculation (GGA-PBE) on crystalline Tb5ThAl3 at its relaxed geometry.

Properties
space group: P6_3/mcm
total DFT energy (no corrections): -4.8853 eV/atom

Unit cell a=6.632 b=9.169 c=9.169 alpha=120.00 beta=90.00 gamma=90.00
Fractional positions:
Tb: 0.000 0.667 0.333
Tb: 0.500 0.333 0.667
Tb: 0.000 0.333 0.667
Tb: 0.500 0.667 0.333
Tb: 0.750 0.666 0.666
Tb: 0.750 0.000 0.334
Tb: 0.750 0.334 0.000
Tb: 0.250 0.334 0.334
Tb: 0.250 0.000 0.666
Tb: 0.250 0.666 0.000
Th: 0.000 0.000 0.000
Th: 0.500 0.000 0.000
Al: 0.750 0.334 0.334
Al: 0.750 0.000 0.666
Al: 0.750 0.666 0.000
Al: 0.250 0.666 0.666
Al: 0.250 0.000 0.334
Al: 0.250 0.334 0.000